# 1
# PBE Tl2HgMo, relaxed
data_Tl2HgMo
_chemical_formula_sum 'Tl6 Hg3 Mo3'
_space_group_name_H-M_alt 'R -3 m'
_space_group_IT_number 166
_space_group_name_Hall '-R 3 2"'
_cell_length_a 3.2530
_cell_length_b 3.2530
_cell_length_c 29.9877
_cell_angle_alpha 90.00
_cell_angle_beta 90.00
_cell_angle_gamma 120.00
loop_
_atom_site_label
_atom_site_type_symbol
_atom_site_fract_x
_atom_site_fract_y
_atom_site_fract_z
Tl1 Tl 0.0000 0.0000 0.2435
Hg1 Hg 0.0000 0.0000 0.0000
Mo1 Mo 0.0000 0.0000 0.5000
# Energy of formation in eV/atom: 0.61
# Crystal system: trigonal
# Relative energy among the computed polymorphs in meV per atom: 64

# 2
# PBE NdTh2N3, relaxed
data_NdTh2N3
_chemical_formula_sum 'Nd2 Th4 N6'
_space_group_name_H-M_alt 'P 63/m c m'
_space_group_IT_number 193
_space_group_name_Hall '-P 6c 2'
_cell_length_a 6.1626
_cell_length_b 6.1626
_cell_length_c 6.8256
_cell_angle_alpha 90.00
_cell_angle_beta 90.00
_cell_angle_gamma 120.00
loop_
_atom_site_label
_atom_site_type_symbol
_atom_site_fract_x
_atom_site_fract_y
_atom_site_fract_z
Nd1 Nd 0.0000 0.0000 0.2500
Th1 Th 0.3333 0.6667 0.0000
N1 N 0.0000 0.4288 0.2500
# Energy relative to the elements, uncorrected in eV/atom: -1.274
# Crystal system: hexagonal
# Relative energy among the computed polymorphs in meV per atom: 261

# 3
# PBE SeS, relaxed
data_SeS
_chemical_formula_sum 'Se8 S8'
_space_group_name_H-M_alt 'P 21 21 21'
_space_group_IT_number 19
_space_group_name_Hall 'P 2ac 2ab'
_cell_length_a 8.071
_cell_length_b 8.383
_cell_length_c 9.052
_cell_angle_alpha 90.00
_cell_angle_beta 90.00
_cell_angle_gamma 90.00
loop_
_atom_site_label
_atom_site_type_symbol
_atom_site_fract_x
_atom_site_fract_y
_atom_site_fract_z
Se1 Se 0.038 0.205 0.079
Se2 Se 0.201 0.811 0.084
S1 S 0.189 0.665 0.288
S2 S 0.246 0.059 0.166
# Energy relative to the elements, uncorrected in eV/atom: 0.053
# Crystal system: orthorhombic
# Relative energy among the computed polymorphs in meV per atom: 9

# 4
# PBE HoCdPtO6, relaxed
data_HoCdPtO6
_chemical_formula_sum 'Ho2 Cd2 Pt2 O12'
_space_group_name_H-M_alt 'P -3 1 c'
_space_group_IT_number 163
_space_group_name_Hall '-P 3 2c'
_cell_length_a 5.6045
_cell_length_b 5.6045
_cell_length_c 8.8967
_cell_angle_alpha 90.00
_cell_angle_beta 90.00
_cell_angle_gamma 120.00
loop_
_atom_site_label
_atom_site_type_symbol
_atom_site_fract_x
_atom_site_fract_y
_atom_site_fract_z
Ho1 Ho 0.3333 0.6667 0.2500
Cd1 Cd 0.0000 0.0000 0.0000
Pt1 Pt 0.3333 0.6667 0.7500
O1 O 0.0372 0.3796 0.6273
# Energy relative to the elements, uncorrected in eV/atom: -1.189
# Crystal system: trigonal

# 5
# PBE Dy4MgNi2, relaxed
data_Dy4MgNi2
_chemical_formula_sum 'Dy8 Mg2 Ni4'
_space_group_name_H-M_alt 'P 1'
_space_group_IT_number 1
_space_group_name_Hall 'P 1'
_cell_length_a 6.996
_cell_length_b 7.004
_cell_length_c 7.304
_cell_angle_alpha 76.62
_cell_angle_beta 85.94
_cell_angle_gamma 76.14
loop_
_atom_site_label
_atom_site_type_symbol
_atom_site_fract_x
_atom_site_fract_y
_atom_site_fract_z
Dy1 Dy 0.000 0.000 0.000
Dy2 Dy 0.002 0.483 0.106
Dy3 Dy 0.299 0.627 0.368
Dy4 Dy 0.507 0.030 0.465
Dy5 Dy 0.558 0.867 0.001
Dy6 Dy 0.563 0.341 0.054
Dy7 Dy 0.826 0.551 0.636
Dy8 Dy 0.978 0.069 0.475
Mg1 Mg 0.272 0.271 0.762
Mg2 Mg 0.281 0.703 0.773
Ni1 Ni 0.268 0.114 0.175
Ni2 Ni 0.671 0.209 0.711
Ni3 Ni 0.685 0.438 0.355
Ni4 Ni 0.824 0.788 0.295
# Energy of formation in eV/atom: -0.22
# Crystal system: triclinic

# 6
# PBE Be2CrCu2, relaxed
data_Be2CrCu2
_chemical_formula_sum 'Be4 Cr2 Cu4'
_space_group_name_H-M_alt 'I 4/m m m'
_space_group_IT_number 139
_space_group_name_Hall '-I 4 2'
_cell_length_a 3.218
_cell_length_b 3.218
_cell_length_c 10.696
_cell_angle_alpha 90.00
_cell_angle_beta 90.00
_cell_angle_gamma 90.00
loop_
_atom_site_label
_atom_site_type_symbol
_atom_site_fract_x
_atom_site_fract_y
_atom_site_fract_z
Be1 Be 0.000 0.500 0.250
Cr1 Cr 0.000 0.000 0.000
Cu1 Cu 0.000 0.000 0.392
# Energy of formation in eV/atom: 0.47
# Crystal system: tetragonal
# Relative energy among the computed polymorphs in meV per atom: 375

# 7
# PBE Ca2WCl, relaxed
data_Ca2WCl
_chemical_formula_sum 'Ca2 W1 Cl1'
_space_group_name_H-M_alt 'P 1 2/m 1'
_space_group_IT_number 10
_space_group_name_Hall '-P 2y'
_cell_length_a 3.198
_cell_length_b 3.198
_cell_length_c 8.734
_cell_angle_alpha 90.00
_cell_angle_beta 90.08
_cell_angle_gamma 90.00
loop_
_atom_site_label
_atom_site_type_symbol
_atom_site_fract_x
_atom_site_fract_y
_atom_site_fract_z
Ca1 Ca 0.001 0.000 0.255
W1 W 0.500 0.500 0.000
Cl1 Cl 0.500 0.500 0.500
# Energy relative to the elements, uncorrected in eV/atom: -0.149
# Crystal system: monoclinic
# Relative energy among the computed polymorphs in meV per atom: 6

# 8
# PBE MgRhPb3, relaxed
data_MgRhPb3
_chemical_formula_sum 'Mg1 Rh1 Pb3'
_space_group_name_H-M_alt 'P m -3 m'
_space_group_IT_number 221
_space_group_name_Hall '-P 4 2 3'
_cell_length_a 5.327
_cell_length_b 5.327
_cell_length_c 5.327
_cell_angle_alpha 90.00
_cell_angle_beta 90.00
_cell_angle_gamma 90.00
loop_
_atom_site_label
_atom_site_type_symbol
_atom_site_fract_x
_atom_site_fract_y
_atom_site_fract_z
Mg1 Mg 0.000 0.000 0.000
Rh1 Rh 0.500 0.500 0.500
Pb1 Pb 0.000 0.500 0.500
# Energy of formation in eV/atom: 0.15
# Crystal system: cubic
# Relative energy among the computed polymorphs in meV per atom: 0

# 9
# PBE Pr12Cd6Au, relaxed
data_Pr12Cd6Au
_chemical_formula_sum 'Pr36 Cd18 Au3'
_space_group_name_H-M_alt 'R -3'
_space_group_IT_number 148
_space_group_name_Hall '-R 3'
_cell_length_a 11.6673
_cell_length_b 11.6673
_cell_length_c 14.6643
_cell_angle_alpha 90.00
_cell_angle_beta 90.00
_cell_angle_gamma 120.00
loop_
_atom_site_label
_atom_site_type_symbol
_atom_site_fract_x
_atom_site_fract_y
_atom_site_fract_z
Pr1 Pr 0.0335 0.8448 0.3233
Pr2 Pr 0.0650 0.2126 0.9067
Cd1 Cd 0.0358 0.5947 0.2037
Au1 Au 0.0000 0.0000 0.5000
# Energy of formation in eV/atom: -0.16
# Crystal system: trigonal

# 10
# PBE BaLaRe2, relaxed
data_BaLaRe2
_chemical_formula_sum 'Ba1 La1 Re2'
_space_group_name_H-M_alt 'P 4/m m m'
_space_group_IT_number 123
_space_group_name_Hall '-P 4 2'
_cell_length_a 5.148
_cell_length_b 5.148
_cell_length_c 3.766
_cell_angle_alpha 90.00
_cell_angle_beta 90.00
_cell_angle_gamma 90.00
loop_
_atom_site_label
_atom_site_type_symbol
_atom_site_fract_x
_atom_site_fract_y
_atom_site_fract_z
Ba1 Ba 0.000 0.000 0.000
La1 La 0.500 0.500 0.000
Re1 Re 0.000 0.500 0.500
# Energy of formation in eV/atom: 1.42
# Crystal system: tetragonal
# Relative energy among the computed polymorphs in meV per atom: 1172

# 11
# PBE Sc3ReBr, relaxed
data_Sc3ReBr
_chemical_formula_sum 'Sc3 Re1 Br1'
_space_group_name_H-M_alt 'P m -3 m'
_space_group_IT_number 221
_space_group_name_Hall '-P 4 2 3'
_cell_length_a 4.819
_cell_length_b 4.819
_cell_length_c 4.819
_cell_angle_alpha 90.00
_cell_angle_beta 90.00
_cell_angle_gamma 90.00
loop_
_atom_site_label
_atom_site_type_symbol
_atom_site_fract_x
_atom_site_fract_y
_atom_site_fract_z
Sc1 Sc 0.000 0.000 0.500
Re1 Re 0.500 0.500 0.500
Br1 Br 0.000 0.000 0.000
# Energy relative to the elements, uncorrected in eV/atom: 0.554
# Crystal system: cubic
# Relative energy among the computed polymorphs in meV per atom: 394

# 12
# PBE TbPuTc2, relaxed
data_TbPuTc2
_chemical_formula_sum 'Tb1 Pu1 Tc2'
_space_group_name_H-M_alt 'P 4/m m m'
_space_group_IT_number 123
_space_group_name_Hall '-P 4 2'
_cell_length_a 3.362
_cell_length_b 3.362
_cell_length_c 6.985
_cell_angle_alpha 90.00
_cell_angle_beta 90.00
_cell_angle_gamma 90.00
loop_
_atom_site_label
_atom_site_type_symbol
_atom_site_fract_x
_atom_site_fract_y
_atom_site_fract_z
Tb1 Tb 0.000 0.000 0.000
Pu1 Pu 0.000 0.000 0.500
Tc1 Tc 0.500 0.500 0.285
# Energy of formation in eV/atom: 0.02
# Crystal system: tetragonal
# Relative energy among the computed polymorphs in meV per atom: 0

These records have DFT total energy values of -3.352, -8.705, -3.753, -5.776, -4.725, -4.586, -4.850, -3.861, -3.640, -6.512, -6.069, -9.899 eV per atom, in the order they appear.